[1]
# KTmNiSe3

A geometry-optimized KTmNiSe3 structure (PBE, OQMD via LeMat-Bulk).

DFT total energy in hartree per atom: -0.1761
Volume in Å³/f.u.: 164.76

a b c (Å): 9.042 4.019 9.574
angles (deg): 90.00 108.70 90.00
Space group P2_1/m (No. 11)
One atom of each set of equivalent atoms:
K1 0.202 0.250 0.235 [2 per cell]
Tm1 0.328 0.750 0.859 [2 per cell]
Ni1 0.079 0.250 0.594 [2 per cell]
Se1 0.110 0.250 0.854 [2 per cell]
Se2 0.190 0.750 0.538 [2 per cell]
Se3 0.461 0.750 0.165 [2 per cell]


[2]
# CsTaBi

A geometry-optimized CsTaBi structure (PBE, OQMD via LeMat-Bulk).

DFT total energy in hartree per atom: -0.1563
Energy above the most stable polymorph in this dataset in meV per atom: 0
Volume in Å³/f.u.: 103.44

a b c (Å): 7.452 7.452 7.452
angles (deg): 90.00 90.00 90.00
Space group F-43m (No. 216)
One atom of each set of equivalent atoms:
Cs1 0.000 0.000 0.000 [4 per cell]
Ta1 0.250 0.250 0.750 [4 per cell]
Bi1 0.000 0.000 0.500 [4 per cell]


[3]
# Ho2TmGa3Cu2Ni

A geometry-optimized Ho2TmGa3Cu2Ni structure (PBE, OQMD via LeMat-Bulk).

DFT total energy in hartree per atom: -0.1659
Volume in Å³/f.u.: 164.11

a b c (Å): 3.977 11.957 6.902
angles (deg): 90.00 90.00 90.00
Space group Amm2 (No. 38)
One atom of each set of equivalent atoms:
Ho1 0.000 0.205 0.000 [4 per cell]
Tm1 0.000 0.000 0.386 [2 per cell]
Ga1 0.500 0.000 0.032 [2 per cell]
Ga2 0.500 0.119 0.676 [4 per cell]
Cu1 0.500 0.165 0.295 [4 per cell]
Ni1 0.000 0.000 0.793 [2 per cell]


[4]
# Sc2FeSiGe

A geometry-optimized Sc2FeSiGe structure (PBE, OQMD via LeMat-Bulk).

DFT total energy in hartree per atom: -0.2531
Energy above the most stable polymorph in this dataset in meV per atom: 86
Volume in Å³/f.u.: 84.13

a b c (Å): 10.020 4.026 9.480
angles (deg): 90.00 118.38 90.00
Space group C2/m (No. 12)
One atom of each set of equivalent atoms:
Sc1 0.001 0.000 0.326 [4 per cell]
Sc2 0.182 0.000 0.104 [4 per cell]
Fe1 0.222 0.500 0.366 [4 per cell]
Si1 0.008 0.500 0.875 [4 per cell]
Ge1 0.148 0.500 0.571 [4 per cell]


[5]
# DyTmGa2Pt4

A geometry-optimized DyTmGa2Pt4 structure (PBE, OQMD via LeMat-Bulk).

DFT total energy in hartree per atom: -0.2203
Volume in Å³/f.u.: 150.25

a b c (Å): 4.3771 4.3771 9.0555
angles (deg): 90.00 90.00 120.00
Space group P-6m2 (No. 187)
One atom of each set of equivalent atoms:
Dy1 0.0000 0.0000 0.0000 [1 per cell]
Tm1 0.6667 0.3333 0.5000 [1 per cell]
Ga1 0.3333 0.6667 0.2506 [2 per cell]
Pt1 0.0000 0.0000 0.3384 [2 per cell]
Pt2 0.6667 0.3333 0.1660 [2 per cell]


[6]
# NdErCN2O2

A geometry-optimized NdErCN2O2 structure (PBE, OQMD via LeMat-Bulk).

DFT total energy in hartree per atom: -0.3148
Volume in Å³/f.u.: 101.31

a b c (Å): 3.7745 3.7745 8.2110
angles (deg): 90.00 90.00 120.00
Space group P3m1 (No. 156)
One atom of each set of equivalent atoms:
Nd1 0.0000 0.0000 0.0000 [1 per cell]
Er1 0.6667 0.3333 0.6428 [1 per cell]
C1 0.3333 0.6667 0.3252 [1 per cell]
N1 0.3333 0.6667 0.1744 [1 per cell]
N2 0.3333 0.6667 0.4755 [1 per cell]
O1 0.0000 0.0000 0.7082 [1 per cell]
O2 0.6667 0.3333 0.9136 [1 per cell]


[7]
# Sm2GdIn3AgPt2

A geometry-optimized Sm2GdIn3AgPt2 structure (PBE, OQMD via LeMat-Bulk).

DFT total energy in hartree per atom: -0.1820
Volume in Å³/f.u.: 208.74

a b c (Å): 3.948 13.522 7.820
angles (deg): 90.00 90.00 90.00
Space group Amm2 (No. 38)
One atom of each set of equivalent atoms:
Sm1 0.000 0.206 0.000 [4 per cell]
Gd1 0.000 0.000 0.621 [2 per cell]
In1 0.500 0.000 0.944 [2 per cell]
In2 0.500 0.131 0.339 [4 per cell]
Ag1 0.000 0.000 0.208 [2 per cell]
Pt1 0.500 0.165 0.706 [4 per cell]


[8]
# HoSc2Cu4Si2Ge2

A geometry-optimized HoSc2Cu4Si2Ge2 structure (PBE, OQMD via LeMat-Bulk).

DFT total energy in hartree per atom: -0.1968
Energy above the most stable polymorph in this dataset in meV per atom: 16
Volume in Å³/f.u.: 177.50

a b c (Å): 4.022 6.595 13.382
angles (deg): 90.00 90.00 90.00
Space group Immm (No. 71)
One atom of each set of equivalent atoms:
Ho1 0.000 0.000 0.000 [2 per cell]
Sc1 0.000 0.500 0.125 [4 per cell]
Cu1 0.000 0.306 0.334 [8 per cell]
Si1 0.000 0.180 0.500 [4 per cell]
Ge1 0.000 0.000 0.221 [4 per cell]


> Which of these has the lowest volume?

Sc2FeSiGe


> Which formula does entry 4 have?

Sc2FeSiGe


> Which of these has the lowest DFT total energy?

NdErCN2O2